Model A:
Material: SrCd2Hg2
Method: DFT, PBE-GGA
State: relaxed

Lattice parameters (Å, degrees): 4.5474 4.5474 13.3464 90.00 90.00 90.00
Space group I4/mmm (No. 139)
Symmetry-distinct sites (fractional):
Sr 0.0000 0.0000 0.0000 x2
Cd 0.0000 0.5000 0.2500 x4
Hg 0.0000 0.0000 0.3926 x4

Model B:
Material: SrCd2Hg2
Method: DFT, PBE-GGA
State: relaxed

Lattice parameters (Å, degrees): 8.5066 8.5066 3.8382 90.00 90.00 90.00
Space group P4/mbm (No. 127)
Symmetry-distinct sites (fractional):
Sr 0.0000 0.0000 0.0000 x2
Cd 0.1204 0.3796 0.0000 x4
Hg 0.1800 0.6800 0.5000 x4

Sorted by energy, starting with the most stable: model A, model B.

Model A:
Material: SrCd2Hg2
Method: DFT, PBE-GGA
State: relaxed

Lattice parameters (Å, degrees): 4.4771 4.4771 6.8755 90.00 90.00 90.00
Space group P4/mmm (No. 123)
Symmetry-distinct sites (fractional):
Sr 0.0000 0.0000 0.0000 x1
Cd 0.0000 0.5000 0.5000 x2
Hg 0.5000 0.5000 0.2122 x2

Model B:
Material: SrCd2Hg2
Method: DFT, PBE-GGA
State: relaxed

Lattice parameters (Å, degrees): 8.4266 8.4266 3.9809 90.00 90.00 90.00
Space group P4/mbm (No. 127)
Symmetry-distinct sites (fractional):
Sr 0.0000 0.0000 0.0000 x2
Cd 0.1664 0.3336 0.5000 x4
Hg 0.1305 0.6305 0.0000 x4

Sorted by energy, starting with the most stable: model A, model B.

Model A:
Material: Sr2Cd5Hg4
Method: DFT, PBE-GGA
State: relaxed

Lattice parameters (Å, degrees): 6.0811 9.6319 10.1241 90.00 90.00 90.00
Space group Immm (No. 71)
Symmetry-distinct sites (fractional):
Sr 0.0000 0.0000 0.2145 x4
Cd 0.0000 0.5000 0.5000 x2
Cd 0.2443 0.1780 0.5000 x8
Hg 0.0000 0.3363 0.2536 x8

Model B:
Material: Sr2Cd5Hg4
Method: DFT, PBE-GGA
State: relaxed

Lattice parameters (Å, degrees): 6.1938 10.2091 19.3625 90.00 90.00 90.00
Space group Fmmm (No. 69)
Symmetry-distinct sites (fractional):
Sr 0.0000 0.0000 0.1197 x8
Cd 0.0000 0.0000 0.5000 x4
Cd 0.2500 0.2500 0.0000 x8
Cd 0.2500 0.2500 0.2500 x8
Hg 0.0000 0.1526 0.3676 x16

Sorted by energy, starting with the most stable: model A, model B.

Model A:
Material: SrCd3Hg3
Method: DFT, PBE-GGA
State: relaxed

Lattice parameters (Å, degrees): 7.9641 7.9641 20.7865 90.00 90.00 120.00
Space group R-3m (No. 166, hexagonal axes)
Symmetry-distinct sites (fractional):
Sr 0.0000 0.0000 0.1097 x6
Cd 0.0839 0.5419 0.3410 x18
Hg 0.0259 0.5129 0.1134 x18

Model B:
Material: SrCd3Hg3
Method: DFT, PBE-GGA
State: relaxed

Lattice parameters (Å, degrees): 7.7980 4.8839 9.6624 90.00 92.17 90.00
Space group P2_1/m (No. 11)
Symmetry-distinct sites (fractional):
Sr 0.1082 0.2500 0.3294 x2
Cd 0.3062 0.2500 0.0067 x2
Cd 0.3630 0.7500 0.8176 x2
Cd 0.4185 0.7500 0.2112 x2
Hg 0.0768 0.7500 0.0725 x2
Hg 0.1838 0.2500 0.6737 x2
Hg 0.3542 0.7500 0.5067 x2

Model C:
Material: SrCd3Hg3
Method: DFT, PBE-GGA
State: relaxed

Lattice parameters (Å, degrees): 7.9024 7.9024 7.9024 90.00 90.00 90.00
Space group Pm-3n (No. 223)
Symmetry-distinct sites (fractional):
Sr 0.0000 0.0000 0.0000 x2
Cd 0.0000 0.2500 0.5000 x6
Hg 0.0000 0.5000 0.2500 x6

Sorted by energy, starting with the most stable: model B, model A, model C.

Model A:
Material: SrCd6Hg12
Method: DFT, PBE-GGA
State: relaxed

Lattice parameters (Å, degrees): 8.1024 8.4712 9.0285 113.84 98.20 112.46
Space group P-1 (No. 2)
Symmetry-distinct sites (fractional):
Sr 0.0000 0.0000 0.0000 x1
Cd 0.0654 0.4845 0.7254 x2
Cd 0.3232 0.2632 0.7849 x2
Cd 0.4305 0.7816 0.4517 x2
Hg 0.1257 0.9517 0.3707 x2
Hg 0.1910 0.4715 0.0658 x2
Hg 0.1906 0.8361 0.6816 x2
Hg 0.2615 0.3829 0.4387 x2
Hg 0.3552 0.8949 0.1143 x2
Hg 0.4806 0.3115 0.1603 x2

Model B:
Material: SrCd6Hg12
Method: DFT, PBE-GGA
State: relaxed

Lattice parameters (Å, degrees): 13.4854 13.4854 9.7742 90.00 90.00 120.00
Space group R-3m (No. 166, hexagonal axes)
Symmetry-distinct sites (fractional):
Sr 0.0000 0.0000 0.0000 x3
Cd 0.0642 0.5321 0.2278 x18
Hg 0.0000 0.3883 0.5000 x18
Hg 0.0813 0.1625 0.2808 x18

Sorted by energy, starting with the most stable: model A, model B.

Model A:
Material: SrCd8Hg2
Method: DFT, PBE-GGA
State: relaxed

Lattice parameters (Å, degrees): 5.2546 5.2546 11.0901 90.00 90.00 90.00
Space group P4/mmm (No. 123)
Symmetry-distinct sites (fractional):
Sr 0.0000 0.0000 0.0000 x1
Cd 0.0000 0.5000 0.1934 x4
Cd 0.0000 0.5000 0.5000 x2
Cd 0.5000 0.5000 0.3438 x2
Hg 0.0000 0.0000 0.3376 x2

Model B:
Material: SrCd8Hg2
Method: DFT, PBE-GGA
State: relaxed

Lattice parameters (Å, degrees): 5.9525 5.9525 10.0939 90.00 90.00 90.00
Space group P4/mmm (No. 123)
Symmetry-distinct sites (fractional):
Sr 0.0000 0.0000 0.0000 x1
Cd 0.2525 0.2525 0.2682 x8
Hg 0.0000 0.5000 0.5000 x2

Sorted by energy, starting with the most stable: model A, model B.

Model A:
Material: SrCd12Hg7
Method: DFT, PBE-GGA
State: relaxed

Lattice parameters (Å, degrees): 10.8201 10.8201 10.8201 90.00 90.00 90.00
Space group Im-3 (No. 204)
Symmetry-distinct sites (fractional):
Sr 0.0000 0.0000 0.0000 x2
Cd 0.0000 0.1606 0.2820 x24
Hg 0.0000 0.0000 0.5000 x6
Hg 0.2500 0.2500 0.2500 x8

Model B:
Material: SrCd12Hg7
Method: DFT, PBE-GGA
State: relaxed

Lattice parameters (Å, degrees): 14.7448 14.7448 8.1213 90.00 90.00 120.00
Space group R-3 (No. 148, hexagonal axes)
Symmetry-distinct sites (fractional):
Sr 0.0000 0.0000 0.0000 x3
Cd 0.0319 0.7453 0.0771 x18
Cd 0.0884 0.8608 0.3954 x18
Hg 0.0000 0.0000 0.5000 x3
Hg 0.0746 0.8602 0.7659 x18

Sorted by energy, starting with the most stable: model B, model A.

Model A:
Material: Sr8CdHg2
Method: DFT, PBE-GGA
State: relaxed

Lattice parameters (Å, degrees): 10.1602 14.9298 6.7131 90.00 107.52 90.00
Space group Cm (No. 8)
Symmetry-distinct sites (fractional):
Sr 0.0000 0.0000 0.0000 x2
Sr 0.0710 0.3700 0.7790 x4
Sr 0.1646 0.1305 0.5877 x4
Sr 0.2338 0.5000 0.3770 x2
Sr 0.3667 0.2251 0.1860 x4
Cd 0.3666 0.0000 0.3326 x2
Hg 0.3689 0.3130 0.6871 x4

Model B:
Material: Sr8CdHg2
Method: DFT, PBE-GGA
State: relaxed

Lattice parameters (Å, degrees): 20.6571 5.7380 8.1323 90.00 107.74 90.00
Space group C2/m (No. 12)
Symmetry-distinct sites (fractional):
Sr 0.0344 0.0000 0.2906 x4
Sr 0.0950 0.5000 0.9575 x4
Sr 0.1709 0.5000 0.4677 x4
Sr 0.2037 0.0000 0.8201 x4
Cd 0.0000 0.5000 0.5000 x2
Hg 0.1842 0.0000 0.2089 x4

Sorted by energy, starting with the most stable: model B, model A.

Model A:
Material: SrCd4Hg2
Method: DFT, PBE-GGA
State: relaxed

Lattice parameters (Å, degrees): 8.6966 8.6966 4.8191 90.00 90.00 90.00
Space group P4_2/mnm (No. 136)
Symmetry-distinct sites (fractional):
Sr 0.0000 0.0000 0.0000 x2
Cd 0.1018 0.3546 0.5000 x8
Hg 0.1914 0.8086 0.5000 x4

Model B:
Material: SrCd4Hg2
Method: DFT, PBE-GGA
State: relaxed

Lattice parameters (Å, degrees): 4.4627 18.3204 4.4333 90.00 90.00 90.00
Space group Cmmm (No. 65)
Symmetry-distinct sites (fractional):
Sr 0.0000 0.0000 0.0000 x2
Cd 0.0000 0.1868 0.5000 x4
Cd 0.0000 0.3102 0.0000 x4
Hg 0.0000 0.4204 0.5000 x4

Sorted by energy, starting with the most stable: model B, model A.